Density functional theory data (meta-GGA SCAN) for Zn7Co at its PBEsol-relaxed geometry.

Structure (POSCAR):
```
Zn7Co
1.0
5.282 0.000 0.000
2.641 4.574 0.000
2.641 1.525 4.312
Zn Co
7 1
direct
0.500 0.500 0.000
0.000 0.500 0.500
0.500 0.000 0.500
0.500 0.500 0.500
0.000 0.500 0.000
0.000 0.000 0.500
0.500 0.000 0.000
0.000 0.000 0.000
```

Density of states at the Fermi level   2.875 states/eV/cell
Space-group type   No. 225
Crystal system   cubic
Energy relative to the elements   0.018 eV per atom
Size of the total moment   1.18 μB per formula unit

Density functional theory data (meta-GGA SCAN) for CaYNiSe2 at its PBEsol-relaxed geometry.

Structure (POSCAR):
```
CaYNiSe2
1.0
4.481 0.000 0.000
0.000 4.911 0.000
0.000 0.000 4.911
Ni Y Se Ca
1 1 2 1
direct
0.000 0.000 0.000
0.500 0.500 0.500
0.000 0.000 0.500
0.000 0.500 0.000
0.500 0.000 0.000
```

Density of states at the Fermi level   2.115 states/eV/cell
Final energy   -19.266 eV/atom
Space-group type   No. 123
Crystal system   tetragonal
Size of the total moment   1.20 μB per formula unit

Density functional theory data (meta-GGA SCAN) for CsZnIn3 at its PBEsol-relaxed geometry.

Structure (POSCAR):
```
CsZnIn3
1.0
-1.313 -3.722 3.683
-3.451 -2.241 -3.495
3.938 -3.205 -1.834
In Zn Cs
3 1 1
direct
0.000 0.000 0.500
0.000 0.500 0.000
0.500 0.000 0.000
0.000 0.000 0.000
0.500 0.500 0.500
```

Density of states at the Fermi level   3.560 states/eV/cell
Space-group type   No. 221
Crystal system   cubic
Energy relative to the elements   0.125 eV per atom
Size of the total moment   0.00 μB per formula unit

Density functional theory data (meta-GGA SCAN) for BaHgPt at its PBEsol-relaxed geometry.

Structure (POSCAR):
```
BaHgPt
1.0
-0.972 -4.208 -2.526
3.631 -3.358 -0.758
-0.111 -4.389 2.399
Ba Pt Hg
1 1 1
direct
0.000 0.000 0.000
0.250 0.250 0.250
0.500 0.500 0.500
```

Density of states at the Fermi level   0.709 states/eV/cell
Space-group type   No. 216
Crystal system   cubic
Energy relative to the elements   -0.600 eV per atom
Size of the total moment   0.00 μB per formula unit

Density functional theory data (meta-GGA SCAN) for La2AlCdGa at its PBEsol-relaxed geometry.

Structure (POSCAR):
```
La2AlCdGa
1.0
4.813 0.000 0.000
0.000 5.662 0.000
0.000 0.000 5.662
La Al Cd Ga
2 1 1 1
direct
0.000 0.500 0.000
0.000 0.000 0.500
0.500 0.500 0.500
0.500 0.000 0.000
0.000 0.000 0.000
```

Density of states at the Fermi level   6.034 states/eV/cell
Space-group type   No. 123
Crystal system   tetragonal
Energy relative to the elements   -0.004 eV per atom
Size of the total moment   0.00 μB per formula unit

Density functional theory data (meta-GGA SCAN) for LiZnRu2 at its PBEsol-relaxed geometry.

Structure (POSCAR):
```
LiZnRu2
1.0
2.681 0.000 0.000
0.000 4.499 -0.029
-1.341 -0.797 4.361
Li Zn Ru
1 1 2
direct
0.000 0.500 0.000
0.500 0.000 0.000
0.757 0.745 0.515
0.243 0.255 0.485
```

Density of states at the Fermi level   3.341 states/eV/cell
Space-group type   No. 12
Crystal system   monoclinic
Energy relative to the elements   0.103 eV per atom
Size of the total moment   0.00 μB per formula unit

Density functional theory data (meta-GGA SCAN) for Sc2TcOs at its PBEsol-relaxed geometry.

Structure (POSCAR):
```
Sc2TcOs
1.0
-3.590 1.586 2.198
-0.358 -0.591 4.445
0.434 3.511 2.778
Os Tc Sc
1 1 2
direct
0.500 0.500 0.500
0.750 0.750 0.750
0.250 0.250 0.250
0.000 0.000 0.000
```

Density of states at the Fermi level   3.498 states/eV/cell
Space-group type   No. 216
Crystal system   cubic
Energy relative to the elements   -0.181 eV per atom
Size of the total moment   0.00 μB per formula unit

Density functional theory data (meta-GGA SCAN) for OsBrO3 at its PBEsol-relaxed geometry.

Structure (POSCAR):
```
OsBrO3
1.0
4.007 0.000 0.000
0.000 4.007 0.000
0.000 0.000 4.007
O Br Os
3 1 1
direct
0.500 0.000 0.000
0.000 0.500 0.000
0.000 0.000 0.500
0.000 0.000 0.000
0.500 0.500 0.500
```

Density of states at the Fermi level   4.381 states/eV/cell
Final energy   -20.402 eV/atom
Space-group type   No. 221
Crystal system   cubic
Size of the total moment   4.19 μB per formula unit

What is the size of the total moment in the fourth record? 0.00 μB per formula unit